LiPt2Se, optimized geometry, DFT GGA-PBE; total magnetization = 0.00 μB/cell; raw formation energy = -0.203 eV per atom; space group = Pmmm (47); E_tot = -4.57 eV per atom
1.0
2.916 0.000 0.000
0.000 3.795 0.000
0.000 0.000 5.557
Pt Se Li
2 1 1
Direct
0.000 0.000 0.993
0.000 0.000 0.507
0.500 0.500 0.250
0.500 0.500 0.750